# NiAuO2

NiAuO2 after structural relaxation (GGA+U, the Alexandria database).

energy	-4.531	eV/atom
total moment	1.19	μB/f.u.

Unit cell a=3.0269 b=3.0269 c=12.1647 alpha=90.00 beta=90.00 gamma=120.00
Element x y z (fractional)
Ni  0.0000  0.0000  0.0000
Ni  0.0000  0.0000  0.5000
Au  0.3333  0.6667  0.2500
Au  0.6667  0.3333  0.7500
O  0.3333  0.6667  0.0841
O  0.3333  0.6667  0.4159
O  0.6667  0.3333  0.5841
O  0.6667  0.3333  0.9159